(1)
Here is a geometry-optimized Pm2SmSiN4 structure from Alexandria via LeMat-Bulk. Energies are from PBE.

Geometry as CIF:
```
data_Pm2SmSiN4
_chemical_formula_sum 'Pm4 Sm2 Si2 N8'
_cell_length_a 3.4470
_cell_length_b 6.0597
_cell_length_c 12.0185
_cell_angle_alpha 90.00
_cell_angle_beta 90.00
_cell_angle_gamma 106.52
_space_group_name_H-M_alt 'P 1'
_space_group_IT_number 1
_space_group_name_Hall 'P 1'
loop_
_atom_site_label
_atom_site_type_symbol
_atom_site_fract_x
_atom_site_fract_y
_atom_site_fract_z
Pm1 Pm 0.6326 0.2652 0.0433
N1 N 0.7260 0.4520 0.8626
N2 N 0.4056 0.8111 0.7500
Sm1 Sm 0.9060 0.8120 0.2500
Si1 Si 0.8206 0.6412 0.7500
N3 N 0.7260 0.4520 0.6374
N4 N 0.5944 0.1889 0.2500
N5 N 0.0000 0.0000 0.5000
Pm2 Pm 0.3674 0.7348 0.5433
Pm3 Pm 0.6326 0.2652 0.4567
Si2 Si 0.1794 0.3588 0.2500
N6 N 0.2740 0.5480 0.3626
Sm2 Sm 0.0940 0.1880 0.7500
Pm4 Pm 0.3674 0.7348 0.9567
N7 N 0.0000 0.0000 0.0000
N8 N 0.2740 0.5480 0.1374
```

N(E_F) ... 1.39 states/eV/f.u.
Density ... 7.2 g/cm³
Formation energy without anion corrections ... -9.2 eV/f.u.
Crystal system ... orthorhombic

***

(2)
Here is a geometry-optimized PmSm2SiN4 structure from Alexandria via LeMat-Bulk. Energies are from PBE.

Geometry as CIF:
```
data_PmSm2SiN4
_chemical_formula_sum 'Pm2 Sm4 Si2 N8'
_cell_length_a 3.4440
_cell_length_b 6.0619
_cell_length_c 11.9119
_cell_angle_alpha 90.00
_cell_angle_beta 90.00
_cell_angle_gamma 106.50
_space_group_name_H-M_alt 'P 1'
_space_group_IT_number 1
_space_group_name_Hall 'P 1'
loop_
_atom_site_label
_atom_site_type_symbol
_atom_site_fract_x
_atom_site_fract_y
_atom_site_fract_z
N1 N 0.2717 0.5435 0.1355
N2 N 0.4054 0.8107 0.7500
N3 N 0.7283 0.4565 0.6355
N4 N 0.0000 0.0000 0.5000
Sm1 Sm 0.6323 0.2646 0.4570
Si1 Si 0.1788 0.3576 0.2500
N5 N 0.0000 0.0000 0.0000
Sm2 Sm 0.6323 0.2646 0.0430
Sm3 Sm 0.3677 0.7354 0.5430
N6 N 0.7283 0.4565 0.8645
Si2 Si 0.8212 0.6424 0.7500
Pm1 Pm 0.9081 0.8162 0.2500
Sm4 Sm 0.3677 0.7354 0.9570
N7 N 0.2717 0.5435 0.3645
Pm2 Pm 0.0919 0.1838 0.7500
N8 N 0.5946 0.1893 0.2500
```

N(E_F) ... 1.36 states/eV/f.u.
Density ... 7.4 g/cm³
Formation energy without anion corrections ... -9.5 eV/f.u.
Crystal system ... orthorhombic

***

(3)
Here is a geometry-optimized SrPmSiN3 structure from Alexandria via LeMat-Bulk. Energies are from PBE.

Geometry as CIF:
```
data_SrPmSiN3
_chemical_formula_sum 'Sr2 Pm2 Si2 N6'
_cell_length_a 3.8459
_cell_length_b 6.6814
_cell_length_c 7.3726
_cell_angle_alpha 105.74
_cell_angle_beta 90.00
_cell_angle_gamma 106.73
_space_group_name_H-M_alt 'P 1'
_space_group_IT_number 1
_space_group_name_Hall 'P 1'
loop_
_atom_site_label
_atom_site_type_symbol
_atom_site_fract_x
_atom_site_fract_y
_atom_site_fract_z
Sr1 Sr 0.6477 0.2953 0.0717
Pm1 Pm 0.3498 0.6997 0.4226
N1 N 0.5039 0.0077 0.2762
N2 N 0.1500 0.3000 0.3360
Sr2 Sr 0.3523 0.7047 0.9283
Si1 Si 0.9973 0.9946 0.7341
N3 N 0.1431 0.2862 0.8080
Si2 Si 0.0027 0.0054 0.2659
N4 N 0.8569 0.7138 0.1920
N5 N 0.4961 0.9923 0.7238
Pm2 Pm 0.6502 0.3003 0.5774
N6 N 0.8500 0.7000 0.6640
```

N(E_F) ... 1.69 states/eV/f.u.
Density ... 5.8 g/cm³
Formation energy without anion corrections ... -5.3 eV/f.u.
Crystal system ... monoclinic

***

(4)
Here is a geometry-optimized PmSiTc2N structure from Alexandria via LeMat-Bulk. Energies are from PBE.

Geometry as CIF:
```
data_PmSiTc2N
_chemical_formula_sum 'Pm2 Si2 Tc4 N2'
_cell_length_a 3.8210
_cell_length_b 5.9194
_cell_length_c 7.3427
_cell_angle_alpha 90.00
_cell_angle_beta 90.00
_cell_angle_gamma 108.83
_space_group_name_H-M_alt 'P 1'
_space_group_IT_number 1
_space_group_name_Hall 'P 1'
loop_
_atom_site_label
_atom_site_type_symbol
_atom_site_fract_x
_atom_site_fract_y
_atom_site_fract_z
Tc1 Tc 0.1677 0.3354 0.9414
N1 N 0.0000 0.0000 0.0000
Si1 Si 0.2674 0.5348 0.2500
N2 N 0.0000 0.0000 0.5000
Pm1 Pm 0.4547 0.9093 0.7500
Tc2 Tc 0.8323 0.6646 0.0586
Pm2 Pm 0.5453 0.0907 0.2500
Tc3 Tc 0.8323 0.6646 0.4414
Tc4 Tc 0.1677 0.3354 0.5586
Si2 Si 0.7326 0.4652 0.7500
```

N(E_F) ... 4.65 states/eV/f.u.
Density ... 8.1 g/cm³
Formation energy without anion corrections ... -3.7 eV/f.u.
Crystal system ... orthorhombic

***

(5)
Here is a geometry-optimized Pm2Si2Tc2N structure from Alexandria via LeMat-Bulk. Energies are from PBE.

Geometry as CIF:
```
data_Pm2Si2Tc2N
_chemical_formula_sum 'Pm2 Si2 Tc2 N1'
_cell_length_a 4.0547
_cell_length_b 5.9665
_cell_length_c 6.0014
_cell_angle_alpha 72.23
_cell_angle_beta 70.26
_cell_angle_gamma 70.14
_space_group_name_H-M_alt 'P 1'
_space_group_IT_number 1
_space_group_name_Hall 'P 1'
loop_
_atom_site_label
_atom_site_type_symbol
_atom_site_fract_x
_atom_site_fract_y
_atom_site_fract_z
Pm1 Pm 0.4354 0.8310 0.2982
N1 N 0.0000 0.0000 0.0000
Si1 Si 0.8455 0.6041 0.7049
Si2 Si 0.1545 0.3959 0.2951
Pm2 Pm 0.5646 0.1690 0.7018
Tc1 Tc 0.2025 0.6917 0.9034
Tc2 Tc 0.7975 0.3083 0.0966
```

N(E_F) ... 4.31 states/eV/f.u.
Density ... 7.4 g/cm³
Formation energy without anion corrections ... -5.7 eV/f.u.
Crystal system ... monoclinic

***

(6)
Here is a geometry-optimized PmTh2SiN5 structure from Alexandria via LeMat-Bulk. Energies are from PBE.

Geometry as CIF:
```
data_PmTh2SiN5
_chemical_formula_sum 'Pm2 Th4 Si2 N10'
_cell_length_a 5.7844
_cell_length_b 6.6963
_cell_length_c 6.6963
_cell_angle_alpha 90.00
_cell_angle_beta 90.00
_cell_angle_gamma 90.00
_space_group_name_H-M_alt 'P 1'
_space_group_IT_number 1
_space_group_name_Hall 'P 1'
loop_
_atom_site_label
_atom_site_type_symbol
_atom_site_fract_x
_atom_site_fract_y
_atom_site_fract_z
Th1 Th 0.5000 0.6784 0.1784
Th2 Th 0.5000 0.1784 0.3216
Th3 Th 0.5000 0.3216 0.8216
N1 N 0.5000 0.5000 0.5000
N2 N 0.2191 0.6372 0.8628
N3 N 0.7809 0.6372 0.8628
N4 N 0.5000 0.0000 0.0000
Si1 Si 0.0000 0.5000 0.0000
Pm1 Pm 0.0000 0.5000 0.5000
N5 N 0.2191 0.3628 0.1372
N6 N 0.7809 0.8628 0.3628
Th4 Th 0.5000 0.8216 0.6784
N7 N 0.2191 0.1372 0.6372
Pm2 Pm 0.0000 0.0000 0.0000
N8 N 0.7809 0.3628 0.1372
Si2 Si 0.0000 0.0000 0.5000
N9 N 0.2191 0.8628 0.3628
N10 N 0.7809 0.1372 0.6372
```

N(E_F) ... 0.31 states/eV/f.u.
Density ... 9.1 g/cm³
Formation energy without anion corrections ... -10.8 eV/f.u.
Crystal system ... tetragonal

***

(7)
Here is a geometry-optimized PmTm2SiN4 structure from Alexandria via LeMat-Bulk. Energies are from PBE.

Geometry as CIF:
```
data_PmTm2SiN4
_chemical_formula_sum 'Pm2 Tm4 Si2 N8'
_cell_length_a 3.3399
_cell_length_b 5.9634
_cell_length_c 11.3644
_cell_angle_alpha 90.00
_cell_angle_beta 90.00
_cell_angle_gamma 106.26
_space_group_name_H-M_alt 'P 1'
_space_group_IT_number 1
_space_group_name_Hall 'P 1'
loop_
_atom_site_label
_atom_site_type_symbol
_atom_site_fract_x
_atom_site_fract_y
_atom_site_fract_z
Pm1 Pm 0.9127 0.8254 0.2500
N1 N 0.5938 0.1875 0.2500
N2 N 0.0000 0.0000 0.0000
Tm1 Tm 0.3687 0.7374 0.5415
N3 N 0.2642 0.5285 0.3729
N4 N 0.7358 0.4715 0.6271
Si1 Si 0.1762 0.3523 0.2500
Tm2 Tm 0.6313 0.2626 0.4585
N5 N 0.2642 0.5285 0.1271
Tm3 Tm 0.3687 0.7374 0.9585
Si2 Si 0.8238 0.6477 0.7500
N6 N 0.7358 0.4715 0.8729
N7 N 0.4062 0.8125 0.7500
Pm2 Pm 0.0873 0.1746 0.7500
N8 N 0.0000 0.0000 0.5000
Tm4 Tm 0.6313 0.2626 0.0415
```

N(E_F) ... 1.38 states/eV/f.u.
Density ... 8.7 g/cm³
Formation energy without anion corrections ... -11.3 eV/f.u.
Crystal system ... orthorhombic

***

(8)
Here is a geometry-optimized Pm4SmN4 structure from Alexandria via LeMat-Bulk. Energies are from PBE.

Geometry as CIF:
```
data_Pm4SmN4
_chemical_formula_sum 'Pm4 Sm1 N4'
_cell_length_a 5.9241
_cell_length_b 5.9241
_cell_length_c 6.9204
_cell_angle_alpha 115.34
_cell_angle_beta 115.34
_cell_angle_gamma 90.00
_space_group_name_H-M_alt 'P 1'
_space_group_IT_number 1
_space_group_name_Hall 'P 1'
loop_
_atom_site_label
_atom_site_type_symbol
_atom_site_fract_x
_atom_site_fract_y
_atom_site_fract_z
Pm1 Pm 0.7128 0.7128 0.4257
N1 N 0.8817 0.3559 0.2376
N2 N 0.3559 0.8817 0.2376
Pm2 Pm 0.0000 0.5000 0.0000
Pm3 Pm 0.5000 0.0000 0.0000
N3 N 0.1183 0.1183 0.7624
Sm1 Sm 0.0000 0.0000 0.0000
Pm4 Pm 0.2872 0.2872 0.5743
N4 N 0.6441 0.6441 0.7624
```

N(E_F) ... 4.70 states/eV/f.u.
Density ... 6.8 g/cm³
Formation energy without anion corrections ... -6.5 eV/f.u.
Crystal system ... tetragonal